(1)
DFT (PBE) results for an optimized crystal structure of LuAlCu.

crystal system: orthorhombic
DFT formation energy: -0.399 eV/atom
size of the total moment: 0.000 μB/atom

POSCAR file:
```
LuAlCu
1.0
-2.674 2.700 3.695
2.674 -2.700 3.695
2.674 2.700 -3.695
Lu Al Cu
2 2 2
direct
0.373 0.123 0.250
0.627 0.877 0.750
0.000 0.500 0.500
0.500 0.500 0.000
0.000 0.000 0.500
0.000 0.500 0.000
```

(2)
DFT (PBE) results for an optimized crystal structure of LuAl6Cu6.

crystal system: orthorhombic
DFT formation energy: -0.347 eV/atom
size of the total moment: 0.000 μB/atom

POSCAR file:
```
LuAl6Cu6
1.0
-2.540 4.278 4.332
2.540 -4.278 4.332
2.540 4.278 -4.332
Lu Al Cu
1 6 6
direct
0.000 0.000 0.000
0.199 0.699 0.500
0.346 0.000 0.346
0.348 0.348 0.000
0.652 0.652 0.000
0.654 0.000 0.654
0.801 0.301 0.500
0.000 0.000 0.500
0.000 0.500 0.000
0.230 0.500 0.730
0.500 0.000 0.000
0.500 0.500 0.500
0.770 0.500 0.270
```

(3)
DFT (PBE) results for an optimized crystal structure of LuAlCu2.

crystal system: tetragonal
DFT formation energy: -0.208 eV/atom
size of the total moment: 0.000 μB/atom

POSCAR file:
```
LuAlCu2
1.0
3.221 0.000 0.000
0.000 3.221 0.000
0.000 0.000 6.353
Lu Al Cu
1 1 2
direct
0.000 0.000 0.000
0.000 0.000 0.500
0.500 0.500 0.287
0.500 0.500 0.713
```